1.
Tb3Sb4Ir3 (PBE, relaxed); raw total energy = -6.460 eV/atom; magnetization = 0.0 μB per cell; formation energy from raw total energies = -737 kJ/mol of formula units; DOS at the Fermi energy = 11.6 states/eV/f.u.
1.0
-0.0664 5.9788 -6.0120
8.0088 -2.1894 1.7205
-4.2650 -6.8008 -2.7300
Tb Sb Ir
6 8 6
Direct
0.6250 0.7500 0.8750
0.8750 0.2500 0.6250
0.1250 0.3750 0.2500
0.3750 0.1250 0.7500
0.2500 0.8750 0.1250
0.7500 0.6250 0.3750
0.0000 0.0000 0.3519
0.5000 0.3519 0.5000
0.6481 0.1481 0.1481
0.0000 0.0000 0.8519
0.8519 0.5000 0.0000
0.5000 0.8519 0.5000
0.3519 0.5000 0.0000
0.1481 0.6481 0.6481
0.1250 0.7500 0.3750
0.3750 0.2500 0.1250
0.6250 0.8750 0.2500
0.8750 0.6250 0.7500
0.2500 0.3750 0.6250
0.7500 0.1250 0.8750

=====

2.
La5PmSm8 (PBE, relaxed); raw total energy = -4.755 eV/atom; ΔE_f = 0.041 eV per atom; magnetization = 0.0 μB per cell; ΔE to the lowest computed polymorph = 0.0 meV per atom; DOS at the Fermi energy = 21.4 states/eV/f.u.
1.0
-0.1649 -0.6175 -3.5650
14.2851 -5.5403 0.2988
-3.2635 -7.7192 3.3279
La Pm Sm
5 1 8
Direct
0.2690 0.5027 0.5380
0.5986 0.4299 0.1972
0.3440 0.9367 0.6881
0.6914 0.0600 0.3828
0.0172 0.0014 0.0344
0.4460 0.5734 0.8921
0.2281 0.2713 0.4563
0.8079 0.7184 0.6158
0.1167 0.6408 0.2335
0.9094 0.3649 0.8189
0.1652 0.8532 0.3304
0.8707 0.1452 0.7415
0.4954 0.7901 0.9907
0.5402 0.2120 0.0803

=====

3.
AcZnCd2 (PBE, relaxed); raw total energy = -1.986 eV/atom; ΔE_f = -0.183 eV per atom; magnetization = 0.0 μB per cell; DOS at the Fermi energy = 3.9 states/eV/f.u.
1.0
4.6950 0.0000 0.0000
2.3475 4.0660 0.0000
2.3475 1.3553 5.7125
Ac Zn Cd
1 1 2
Direct
0.5000 0.5000 0.5000
0.0000 0.0000 0.0000
0.7121 0.7121 0.8637
0.2879 0.2879 0.1363

=====

4.
Hf2FeSi (PBE, relaxed); raw total energy = -9.016 eV/atom; magnetization = 0.0 μB per cell; formation energy from raw total energies = -219 kJ/mol of formula units; DOS at the Fermi energy = 2.1 states/eV/f.u.
1.0
-0.8145 -3.4376 3.8699
0.0779 -4.4749 -2.7468
4.6994 -2.2556 0.6652
Si Hf Fe
2 4 2
Direct
0.7704 0.6301 0.1568
0.2296 0.3699 0.8432
0.8545 0.7608 0.5897
0.1455 0.2392 0.4103
0.2893 0.8122 0.9919
0.7107 0.1878 0.0081
0.3872 0.7476 0.4893
0.6128 0.2524 0.5107

=====

5.
MgCoSn (PBE, relaxed); raw total energy = -4.243 eV/atom; ΔE_f = -0.008 eV per atom; magnetization = 0.6 μB per cell; DOS at the Fermi energy = 1.9 states/eV/f.u.
1.0
3.3075 0.0000 0.0000
0.0000 3.3075 0.0000
-1.6537 -1.6537 4.6962
Mg Co Sn
1 1 1
Direct
0.0130 0.0130 0.0259
0.6742 0.6742 0.3484
0.3128 0.3128 0.6257

=====

6.
Pb2SeF (PBE, relaxed); raw total energy = -4.033 eV/atom; magnetization = 0.0 μB per cell; ΔE to the lowest computed polymorph = 99.1 meV per atom; formation energy from raw total energies = -324 kJ/mol of formula units; DOS at the Fermi energy = 1.9 states/eV/f.u.
1.0
0.0000 3.6212 3.6212
3.6212 0.0000 3.6212
3.6212 3.6212 0.0000
Pb Se F
2 1 1
Direct
0.2500 0.2500 0.2500
0.7500 0.7500 0.7500
0.5000 0.5000 0.5000
0.0000 0.0000 0.0000

=====

7.
BC2 (PBE, relaxed); raw total energy = -8.004 eV/atom; ΔE_f = 0.372 eV per atom; magnetization = 0.0 μB per cell; ΔE to the lowest computed polymorph = 131.6 meV per atom; DOS at the Fermi energy = 0.5 states/eV/f.u.
1.0
-1.6534 -1.8276 0.7363
2.8613 -2.2117 0.9352
0.0592 2.9482 7.4508
B C
4 8
Direct
0.0000 0.3126 0.1462
0.0000 0.0191 0.9863
0.5000 0.6911 0.0017
0.0000 0.9878 0.3584
0.5000 0.5034 0.1932
0.5000 0.5013 0.5064
0.0000 0.2624 0.5070
0.5000 0.7392 0.3419
0.5000 0.4851 0.8162
0.0000 0.2500 0.8168
0.0000 0.9948 0.6613
0.5000 0.7534 0.6645

=====

8.
ZrVCd2W (PBE, relaxed); raw total energy = -4.425 eV/atom; ΔE_f = 2.065 eV per atom; magnetization = 0.1 μB per cell; DOS at the Fermi energy = 8.9 states/eV/f.u.
1.0
-0.4803 1.4252 -5.1273
-2.4216 -4.0330 -0.8942
-4.5845 2.5033 1.1253
V Zr W Cd
1 1 1 2
Direct
0.5000 0.5000 0.5000
0.0000 0.0000 0.0000
0.0000 0.5000 0.0000
0.0000 0.0000 0.5000
0.5000 0.0000 0.0000

=====

9.
CaAl2Sb2 (PBE, relaxed); raw total energy = -3.666 eV/atom; magnetization = 0.0 μB per cell; ΔE to the lowest computed polymorph = 155.7 meV per atom; formation energy from raw total energies = -58 kJ/mol of formula units; DOS at the Fermi energy = 2.8 states/eV/f.u.
1.0
-1.2141 -7.1691 3.4529
0.6421 -3.5697 -7.1859
3.8125 -0.3886 0.5337
Sb Ca Al
4 2 4
Direct
0.3476 0.8476 0.0000
0.8476 0.6524 0.0000
0.6524 0.1524 0.0000
0.1524 0.3476 0.0000
0.0000 0.0000 0.0000
0.5000 0.5000 0.0000
0.1372 0.6372 0.5000
0.6372 0.8628 0.5000
0.8628 0.3628 0.5000
0.3628 0.1372 0.5000

=====

10.
Cs3Ho2PbSe6 (PBE, relaxed); raw total energy = -4.387 eV/atom; magnetization = 0.0 μB per cell; formation energy from raw total energies = -1574 kJ/mol of formula units; DOS at the Fermi energy = 4.8 states/eV/f.u.
1.0
-3.7758 -5.4598 -3.4181
-0.7897 1.0572 7.3490
-4.8190 6.7473 -2.7474
Cs Ho Pb Se
3 2 1 6
Direct
0.1628 0.8372 0.5000
0.8372 0.1628 0.5000
0.5000 0.5000 0.5000
0.3328 0.6672 0.0000
0.6672 0.3328 0.0000
0.0000 0.0000 0.0000
0.9373 0.5908 0.8121
0.7156 0.7156 0.1862
0.0627 0.4092 0.1879
0.5908 0.9373 0.8121
0.2844 0.2844 0.8138
0.4092 0.0627 0.1879

=====

11.
Cu2NiPd2 (PBE, relaxed); raw total energy = -4.595 eV/atom; ΔE_f = 0.277 eV per atom; magnetization = 1.1 μB per cell; ΔE to the lowest computed polymorph = 308.4 meV per atom; DOS at the Fermi energy = 4.1 states/eV/f.u.
1.0
3.2617 0.0000 0.0000
0.0000 3.2617 0.0000
-1.6309 -1.6309 6.7964
Cu Ni Pd
2 1 2
Direct
0.7500 0.2500 0.5000
0.2500 0.7500 0.5000
0.0000 0.0000 0.0000
0.5981 0.5981 0.1962
0.4019 0.4019 0.8038

=====

12.
TaIrW2 (PBE, relaxed); raw total energy = -11.745 eV/atom; ΔE_f = -0.090 eV per atom; magnetization = 0.0 μB per cell; ΔE to the lowest computed polymorph = 11.0 meV per atom; DOS at the Fermi energy = 3.9 states/eV/f.u.
1.0
-3.2067 0.9352 0.6181
-1.3957 -2.8834 -2.8780
-0.2767 -3.0706 3.2105
Ir Ta W
1 1 2
Direct
0.5000 0.0000 0.5000
0.0000 0.5000 0.5000
0.0000 0.0000 0.0000
0.5000 0.5000 0.0000

=====

13.
Ca2NdEu (PBE, relaxed); raw total energy = -4.693 eV/atom; ΔE_f = 0.069 eV per atom; magnetization = 7.4 μB per cell; ΔE to the lowest computed polymorph = 0.0 meV per atom; DOS at the Fermi energy = 10.5 states/eV/f.u.
1.0
4.1958 0.0000 0.0000
0.0000 4.1958 0.0000
0.0000 0.0000 9.0470
Eu Ca Nd
1 2 1
Direct
0.5000 0.5000 0.5000
0.0000 0.0000 0.7617
0.0000 0.0000 0.2383
0.5000 0.5000 0.0000

=====

14.
Dy3Mg12Zr (PBE, relaxed); raw total energy = -2.628 eV/atom; ΔE_f = -0.034 eV per atom; magnetization = 0.0 μB per cell; DOS at the Fermi energy = 13.2 states/eV/f.u.
1.0
4.6133 0.0000 0.0000
0.0000 4.6133 0.0000
0.0000 0.0000 18.4397
Dy Mg Zr
3 12 1
Direct
0.0000 0.0000 0.2422
0.0000 0.0000 0.5000
0.0000 0.0000 0.7578
0.5000 0.5000 0.0000
0.5000 0.5000 0.2439
0.5000 0.5000 0.5000
0.5000 0.5000 0.7561
0.5000 0.0000 0.1156
0.5000 0.0000 0.3715
0.5000 0.0000 0.6285
0.5000 0.0000 0.8844
0.0000 0.5000 0.1156
0.0000 0.5000 0.3715
0.0000 0.5000 0.6285
0.0000 0.5000 0.8844
0.0000 0.0000 0.0000

=====

15.
LiAcPuN3 (PBE, relaxed); raw total energy = -8.514 eV/atom; magnetization = 6.0 μB per cell; formation energy from raw total energies = -555 kJ/mol of formula units; DOS at the Fermi energy = 5.8 states/eV/f.u.
1.0
-3.1058 1.3463 -1.2597
-2.7368 0.0171 6.7660
3.1903 6.4303 -0.9933
Li Ac Pu N
2 2 2 6
Direct
0.2500 0.0752 0.5914
0.7500 0.9248 0.4086
0.2500 0.1965 0.2346
0.7500 0.8035 0.7654
0.2500 0.6792 0.1638
0.7500 0.3208 0.8362
0.7500 0.8789 0.1326
0.2500 0.1211 0.8674
0.2500 0.7941 0.4535
0.7500 0.2059 0.5465
0.7500 0.4297 0.1305
0.2500 0.5703 0.8695

=====

16.
HfTaReNi2 (PBE, relaxed); raw total energy = -7.674 eV/atom; ΔE_f = 1.490 eV per atom; magnetization = 0.0 μB per cell; DOS at the Fermi energy = 5.5 states/eV/f.u.
1.0
4.3581 0.0000 0.0000
0.0000 4.8767 0.0000
0.0000 0.0000 4.3581
Ni Re Hf Ta
2 1 1 1
Direct
0.0000 0.0000 0.5000
0.5000 0.0000 0.0000
0.0000 0.5000 0.0000
0.0000 0.0000 0.0000
0.5000 0.5000 0.5000

=====

17.
CaFe2Pb (PBE, relaxed); raw total energy = -5.218 eV/atom; ΔE_f = 0.441 eV per atom; magnetization = 5.3 μB per cell; DOS at the Fermi energy = 4.4 states/eV/f.u.
1.0
4.7743 -0.2058 0.0000
0.1645 4.7759 0.0000
-2.4694 -2.2851 3.3937
Pb Ca Fe
1 1 2
Direct
0.5000 0.5000 0.0000
0.7500 0.2500 0.5000
0.0000 0.0000 0.0000
0.2500 0.7500 0.5000

=====

18.
PuTeClO6 (PBE, relaxed); raw total energy = -6.735 eV/atom; magnetization = 5.1 μB per cell; formation energy from raw total energies = -1114 kJ/mol of formula units; DOS at the Fermi energy = 8.8 states/eV/f.u.
1.0
7.2525 0.0000 0.0000
0.0000 7.9079 0.0000
-3.6262 -3.9539 5.4120
Pu Te Cl O
2 2 2 12
Direct
0.5000 0.5000 0.0000
0.5000 0.0000 0.0000
0.5000 0.0000 0.5000
0.0000 0.0000 0.5000
0.8256 0.5756 0.6513
0.1744 0.4244 0.3487
0.4469 0.6969 0.8938
0.8184 0.0684 0.6367
0.8205 0.0545 0.2562
0.4357 0.7018 0.2562
0.4357 0.0545 0.2562
0.8205 0.7018 0.2562
0.5531 0.3031 0.1062
0.1816 0.9316 0.3633
0.1795 0.9455 0.7438
0.5643 0.2982 0.7438
0.5643 0.9455 0.7438
0.1795 0.2982 0.7438

=====

19.
Zr2GaTe (PBE, relaxed); raw total energy = -5.621 eV/atom; magnetization = 0.0 μB per cell; ΔE to the lowest computed polymorph = 781.0 meV per atom; formation energy from raw total energies = 75 kJ/mol of formula units; DOS at the Fermi energy = 2.7 states/eV/f.u.
1.0
6.1218 0.0000 0.0000
0.0000 6.1218 0.0000
3.0609 3.0609 6.6607
Te Ga Zr
2 2 4
Direct
0.0000 0.0000 0.0000
0.7500 0.2500 0.5000
0.5000 0.5000 0.0000
0.2500 0.7500 0.5000
0.5842 0.1250 0.2500
0.1658 0.6250 0.2500
0.3750 0.4158 0.7500
0.8750 0.8342 0.7500

=====

20.
SrAcPm2Se4 (PBE, relaxed); raw total energy = -5.531 eV/atom; magnetization = 0.0 μB per cell; formation energy from raw total energies = -1449 kJ/mol of formula units; DOS at the Fermi energy = 3.4 states/eV/f.u.
1.0
4.2886 0.0000 0.0000
0.0000 7.5098 -0.1817
0.0000 2.6118 7.0066
Sr Ac Pm Se
1 1 2 4
Direct
0.0000 0.5000 0.5000
0.5000 0.5000 0.0000
0.0000 0.0000 0.0000
0.5000 0.0000 0.5000
0.0000 0.7641 0.7413
0.0000 0.2359 0.2587
0.5000 0.7624 0.2486
0.5000 0.2376 0.7514

=====

21.
U6Tc3Ru (PBE, relaxed); raw total energy = -10.826 eV/atom; ΔE_f = -0.015 eV per atom; magnetization = 0.0 μB per cell; DOS at the Fermi energy = 21.2 states/eV/f.u.
1.0
5.2649 0.0000 -0.0280
0.0001 7.8657 0.0001
0.0314 -0.0001 9.3695
U Tc Ru
12 6 2
Direct
0.5548 0.1478 0.9342
0.5551 0.1466 0.5657
0.6661 0.3151 0.2501
0.3339 0.6849 0.7499
0.4449 0.8534 0.4343
0.4452 0.8522 0.0658
0.0548 0.3522 0.4342
0.0551 0.3534 0.0657
0.1661 0.1849 0.7501
0.8339 0.8151 0.2499
0.9449 0.6466 0.9343
0.9452 0.6478 0.5658
0.7271 0.9048 0.7506
0.5000 0.5000 0.0000
0.2729 0.0952 0.2494
0.2271 0.5952 0.2506
0.0000 0.0000 0.5000
0.7729 0.4048 0.7494
0.5000 0.5000 0.5000
0.0000 0.0000 0.0000

=====

22.
BaPtW2 (PBE, relaxed); raw total energy = -7.541 eV/atom; ΔE_f = 0.927 eV per atom; magnetization = 0.0 μB per cell; ΔE to the lowest computed polymorph = 500.3 meV per atom; DOS at the Fermi energy = 2.6 states/eV/f.u.
1.0
6.0016 0.0034 0.0053
2.4765 5.4668 -0.0053
-3.2845 -4.2145 2.7330
W Pt Ba
2 1 1
Direct
0.9884 0.9884 0.0000
0.7983 0.2983 0.5000
0.2125 0.7125 0.5000
0.5007 0.5007 0.0000

=====

23.
NdSm2Dy5Th (PBE, relaxed); raw total energy = -4.666 eV/atom; ΔE_f = 0.294 eV per atom; magnetization = 0.0 μB per cell; DOS at the Fermi energy = 11.3 states/eV/f.u.
1.0
8.7463 0.0000 0.0000
0.0000 8.7463 0.0000
-4.3732 -4.3732 7.6767
Nd Sm Dy Th
2 4 10 2
Direct
0.2500 0.7500 0.5000
0.7500 0.2500 0.5000
0.1159 0.3841 0.0000
0.6159 0.1159 0.0000
0.3841 0.8841 0.0000
0.8841 0.6159 0.0000
0.9274 0.4274 0.2763
0.6511 0.1511 0.7237
0.0726 0.5726 0.7237
0.1511 0.0726 0.7237
0.5726 0.6511 0.7237
0.8489 0.9274 0.2763
0.4274 0.3489 0.2763
0.3489 0.8489 0.2763
0.5000 0.5000 0.0000
0.0000 0.0000 0.0000
0.2500 0.2500 0.5000
0.7500 0.7500 0.5000